Material: Tb3Mg2AlCdGa2
Method: DFT, PBE-GGA
State: relaxed

Cell and atoms, written as extended XYZ:
```
9
Lattice="4.4840 0.0000 0.0000 0.0000 6.3325 3.6196 0.0000 -6.3325 3.6196" Properties=species:S:1:pos:R:3 pbc="T T T"
Tb 0.0000 0.0000 0.0000
Tb 0.0000 -2.7405 4.7337
Tb 0.0000 2.7405 4.7337
Mg 2.2420 -1.5425 2.2948
Mg 2.2420 1.5425 2.2948
Al 0.0000 0.0000 3.1639
Cd 2.2420 0.0000 4.9196
Ga 2.2420 -4.2049 3.1673
Ga 2.2420 4.2049 3.1673
```

=====

Material: Y2Zr4Bi3C3
Method: DFT, PBE-GGA
State: relaxed

Cell and atoms, written as extended XYZ:
```
24
Lattice="5.2838 -3.0518 0.0000 5.2838 3.0518 0.0000 -3.5394 0.0000 15.0060" Properties=species:S:1:pos:R:3 pbc="T T T"
Y 2.6673 2.5615 8.8599
Y 2.5911 2.5615 13.6491
Y 4.4370 -2.5615 1.3569
Y 4.3608 -2.5615 6.1461
Zr 2.6134 0.4880 1.1809
Zr 2.6320 0.5446 6.3222
Zr 0.8437 -0.4880 8.6839
Zr 0.8623 -0.5446 13.8252
Zr 6.1658 0.5446 1.1809
Zr 6.1844 0.4880 6.3221
Zr 4.3961 -0.5446 8.6839
Zr 4.4147 -0.4880 13.8251
Bi -0.7626 0.5767 11.2697
Bi 1.0071 -0.5767 3.7667
Bi 2.6292 0.3612 11.2545
Bi 4.3989 -0.3612 3.7515
Bi 6.0210 0.5767 11.2393
Bi 7.7907 -0.5767 3.7363
C 0.8722 1.5259 7.5030
C 4.3581 1.4513 0.0000
C 4.4397 1.4513 7.5030
C 2.6419 -1.5259 0.0000
C 2.5884 -1.4513 7.5030
C 6.2094 -1.4513 0.0000
```

=====

Material: Cs3Cu2Bi5S10
Method: DFT, PBE-GGA
State: relaxed

Cell and atoms, written as extended XYZ:
```
40
Lattice="15.1825 0.0000 0.0000 0.0000 18.2265 0.0000 0.0000 0.0000 4.0963" Properties=species:S:1:pos:R:3 pbc="T T T"
Cs 0.0000 0.0000 0.0000
Cs 0.3373 4.5549 2.0481
Cs 7.2539 13.6681 0.0000
Cs 7.5912 9.1133 2.0481
Cs 7.9285 4.5584 0.0000
Cs 14.8452 13.6717 2.0481
Cu 3.3966 13.5525 0.0000
Cu 4.1946 4.4392 2.0481
Cu 10.9878 13.7873 2.0481
Cu 11.7859 4.6740 0.0000
Bi 0.0000 9.1133 0.0000
Bi 3.2124 10.7647 2.0481
Bi 3.7011 16.2840 2.0481
Bi 3.8902 7.1708 0.0000
Bi 4.3789 1.6515 0.0000
Bi 7.5912 0.0000 2.0481
Bi 10.8036 16.5750 0.0000
Bi 11.2923 11.0558 0.0000
Bi 11.4814 1.9425 2.0481
Bi 11.9701 7.4618 2.0481
S 1.4595 11.5434 0.0000
S 1.7615 8.1052 2.0481
S 2.0876 15.4772 0.0000
S 2.7099 0.5107 2.0481
S 3.1389 4.0447 0.0000
S 4.4524 13.1580 2.0481
S 4.8814 9.6240 0.0000
S 5.5036 6.3639 2.0481
S 5.8297 17.2185 0.0000
S 6.1317 2.4301 2.0481
S 9.0507 15.7964 2.0481
S 9.3528 1.0080 0.0000
S 9.6788 11.8626 2.0481
S 10.3011 8.6025 0.0000
S 10.7301 5.0685 2.0481
S 12.0436 14.1818 0.0000
S 12.4726 17.7158 2.0481
S 13.0949 2.7494 0.0000
S 13.4209 10.1213 2.0481
S 13.7230 6.6831 0.0000
```

=====

Respective E_tot values: -3.5450; -7.8784; -4.1711 eV per atom.